[1]
# TaAl2V, relaxed, DFT PBE-GGA
data_TaAl2V
_cell_length_a 5.481
_cell_length_b 5.499
_cell_length_c 8.269
_cell_angle_alpha 90.00
_cell_angle_beta 90.00
_cell_angle_gamma 90.00
_symmetry_space_group_name_H-M 'F m m m'
_symmetry_Int_Tables_number 69
_symmetry_space_group_name_Hall '-F 2 2'
loop_
_atom_site_label
_atom_site_fract_x
_atom_site_fract_y
_atom_site_fract_z
Ta1 0.000 0.000 0.000
Al1 0.250 0.250 0.250
V1 0.000 0.000 0.500
# crystal system = orthorhombic
# volume = 249.2 Å³/cell

---

[2]
# ZnSiP, relaxed, DFT PBE-GGA
data_ZnSiP
_cell_length_a 5.983
_cell_length_b 3.483
_cell_length_c 5.643
_cell_angle_alpha 90.00
_cell_angle_beta 111.03
_cell_angle_gamma 90.00
_symmetry_space_group_name_H-M 'C 1 m 1'
_symmetry_Int_Tables_number 8
_symmetry_space_group_name_Hall 'C -2y'
loop_
_atom_site_label
_atom_site_fract_x
_atom_site_fract_y
_atom_site_fract_z
Zn1 0.000 0.000 0.000
Si1 0.443 0.000 0.333
P1 0.351 0.500 0.551
# formation energy without anion corrections = 0.029 eV per atom
# crystal system = monoclinic
# volume = 109.8 Å³/cell

---

[3]
# Ac2SmTe, relaxed, DFT PBE-GGA
data_Ac2SmTe
_cell_length_a 4.096
_cell_length_b 4.096
_cell_length_c 9.100
_cell_angle_alpha 90.00
_cell_angle_beta 90.00
_cell_angle_gamma 90.00
_symmetry_space_group_name_H-M 'P 4/m m m'
_symmetry_Int_Tables_number 123
_symmetry_space_group_name_Hall '-P 4 2'
loop_
_atom_site_label
_atom_site_fract_x
_atom_site_fract_y
_atom_site_fract_z
Ac1 0.000 0.000 0.222
Sm1 0.500 0.500 0.500
Te1 0.500 0.500 0.000
# formation energy without anion corrections = -0.560 eV per atom
# crystal system = tetragonal
# volume = 152.7 Å³/cell

---

| no. | Fermi-level density of states (states/eV/f.u.) | size of the total moment (μB per formula unit) | E above lowest polymorph (meV/atom) |
| --- | --- | --- | --- |
| 1 | 2.123 | 0.000 | 4.8 |
| 2 | 0.748 | 0.000 | 164.7 |
| 3 | 3.798 | 0.000 | 0.0 |